1.
DFT (GGA-PBEsol) results for an optimized crystal structure of Sc3B5O12.

Calculated values
- E_tot (eV/atom) = -8.835
- mass density (g/cm3) = 3.76

a = 12.4381 Å, b = 4.4283 Å, c = 12.2049 Å
α = 90.00°, β = 90.00°, γ = 90.00°
Closest atoms and distances in Å follow each position.
Space group Pmna (No. 53)
Unique sites:
Sc 0.1297 0.0000 0.0000 (multiplicity 4)  8 O 2.08-2.30
Sc 0.1359 0.0139 0.3040 (multiplicity 8)  6 O 2.07-2.26
B 0.0000 0.4618 0.3684 (multiplicity 4)  4 O 1.41-1.54
B 0.0000 0.4688 0.1455 (multiplicity 4)  4 O 1.43-1.55
B 0.1625 0.5000 0.5000 (multiplicity 4)  4 O 1.46-1.48
B 0.2023 0.4566 0.8503 (multiplicity 8)  4 O 1.43-1.51
O 0.0000 0.2223 0.6456 (multiplicity 4)  1 B 1.41
O 0.0000 0.2387 0.0632 (multiplicity 4)  1 B 1.43
O 0.0000 0.3003 0.2567 (multiplicity 4)  2 B 1.54-1.55
O 0.0944 0.3261 0.8580 (multiplicity 8)  2 B 1.46-1.49
O 0.0969 0.3347 0.4213 (multiplicity 8)  2 B 1.46-1.48
O 0.2036 0.2200 0.1532 (multiplicity 8)  1 B 1.43
O 0.2332 0.2945 0.5623 (multiplicity 8)  2 B 1.48-1.51
O 0.2500 0.3199 0.7500 (multiplicity 4)  2 B 1.49

***

2.
DFT (GGA-PBEsol) results for an optimized crystal structure of Sr2Sc2B4O11.

Calculated values
- E_tot (eV/atom) = -8.363
- mass density (g/cm3) = 3.67

a = 5.0848 Å, b = 6.2921 Å, c = 7.2549 Å
α = 77.63°, β = 89.38°, γ = 75.27°
Closest atoms and distances in Å follow each position.
Space group P-1 (No. 2)
Unique sites:
Sr 0.2251 0.1956 0.1631 (multiplicity 2)  8 O 2.52-2.77
Sc 0.1865 0.2817 0.6477 (multiplicity 2)  6 O 2.03-2.16
B 0.2777 0.7793 0.6087 (multiplicity 2)  3 O 1.36-1.40
B 0.3520 0.6568 0.1014 (multiplicity 2)  3 O 1.36-1.42
O 0.0878 0.6578 0.1330 (multiplicity 2)  1 B 1.36
O 0.1091 0.6440 0.5796 (multiplicity 2)  1 B 1.40
O 0.1744 0.9475 0.7062 (multiplicity 2)  1 B 1.39
O 0.4600 0.2582 0.4431 (multiplicity 2)  1 B 1.36
O 0.4902 0.7970 0.1518 (multiplicity 2)  1 B 1.37
O 0.5000 0.5000 0.0000 (multiplicity 1)  2 B 1.42

***

3.
DFT (GGA-PBEsol) results for an optimized crystal structure of YScB2O6.

Calculated values
- E_tot (eV/atom) = -8.985
- mass density (g/cm3) = 3.86

a = 4.8644 Å, b = 4.8644 Å, c = 15.8307 Å
α = 90.00°, β = 90.00°, γ = 120.00°
Closest atoms and distances in Å follow each position.
Space group R-3 (No. 148, hexagonal axes)
Unique sites:
Y 0.0000 0.0000 0.0000 (multiplicity 3)  6 O 2.28
Sc 0.0000 0.0000 0.5000 (multiplicity 3)  6 O 2.11
B 0.0000 0.0000 0.2451 (multiplicity 6)  3 O 1.38
O 0.0183 0.7253 0.2465 (multiplicity 18)  1 B 1.38

***

4.
DFT (GGA-PBEsol) results for an optimized crystal structure of Si3BO.

Calculated values
- E_tot (eV/atom) = -5.056
- mass density (g/cm3) = 2.79

a = 4.0447 Å, b = 4.0447 Å, c = 4.0447 Å
α = 90.00°, β = 90.00°, γ = 90.00°
Closest atoms and distances in Å follow each position.
Space group Pm-3m (No. 221)
Unique sites:
Si 0.0000 0.0000 0.5000 (multiplicity 3)  2 O 2.02
B 0.5000 0.5000 0.5000 (multiplicity 1)  12 Si 2.86
O 0.0000 0.0000 0.0000 (multiplicity 1)  6 Si 2.02

***

5.
DFT (GGA-PBEsol) results for an optimized crystal structure of SiBO2.

Calculated values
- E_tot (eV/atom) = -7.097
- mass density (g/cm3) = 3.87

a = 2.4944 Å, b = 2.4944 Å, c = 16.9327 Å
α = 90.00°, β = 90.00°, γ = 120.00°
Closest atoms and distances in Å follow each position.
Space group R-3m (No. 166, hexagonal axes)
Unique sites:
Si 0.0000 0.0000 0.0000 (multiplicity 3)  2 O 1.95
B 0.0000 0.0000 0.5000 (multiplicity 3)  6 O 1.69
O 0.0000 0.0000 0.1149 (multiplicity 6)  3 B 1.69

***

6.
DFT (GGA-PBEsol) results for an optimized crystal structure of Sm2B4O9.

Calculated values
- E_tot (eV/atom) = -8.621
- mass density (g/cm3) = 5.69

a = 6.2041 Å, b = 6.4883 Å, c = 7.5460 Å
α = 102.29°, β = 97.06°, γ = 102.63°
Closest atoms and distances in Å follow each position.
Space group P-1 (No. 2)
Unique sites:
Sm 0.0476 0.0929 0.2846 (multiplicity 2)  8 O 2.30-2.57
Sm 0.3866 0.6767 0.3581 (multiplicity 2)  6 O 2.34-2.56
B 0.1257 0.3563 0.6528 (multiplicity 2)  4 O 1.47-1.55
B 0.1615 0.6791 0.9259 (multiplicity 2)  4 O 1.43-1.49
B 0.2299 0.3343 0.9807 (multiplicity 2)  4 O 1.45-1.51
B 0.4946 0.1484 0.1878 (multiplicity 2)  3 O 1.37-1.40
O 0.0052 0.7861 0.0183 (multiplicity 2)  2 B 1.47-1.50
O 0.0398 0.5361 0.7487 (multiplicity 2)  2 B 1.46-1.48
O 0.0780 0.8164 0.4420 (multiplicity 2)  1 B 1.48
O 0.2617 0.2640 0.7902 (multiplicity 2)  2 B 1.46-1.55
O 0.2736 0.5694 0.0383 (multiplicity 2)  2 B 1.43-1.45
O 0.2781 0.4068 0.5254 (multiplicity 2)  1 B 1.47
O 0.3134 0.8653 0.8813 (multiplicity 2)  2 B 1.37-1.49
O 0.3601 0.2823 0.1402 (multiplicity 2)  2 B 1.40-1.51
O 0.4337 0.0488 0.3234 (multiplicity 2)  1 B 1.37

***

7.
DFT (GGA-PBEsol) results for an optimized crystal structure of SmB3O6.

Calculated values
- E_tot (eV/atom) = -8.549
- mass density (g/cm3) = 4.72

a = 9.6658 Å, b = 8.0258 Å, c = 6.2431 Å
α = 90.00°, β = 125.93°, γ = 90.00°
Closest atoms and distances in Å follow each position.
Space group C2/c (No. 15)
Unique sites:
Sm 0.0000 0.1981 0.2500 (multiplicity 4)  8 O 2.33-2.51
B 0.0000 0.2192 0.7500 (multiplicity 4)  4 O 1.45-1.49
B 0.2242 0.4356 0.0873 (multiplicity 8)  3 O 1.33-1.42
O 0.1017 0.3115 0.9957 (multiplicity 8)  2 B 1.39-1.45
O 0.1050 0.1083 0.7074 (multiplicity 8)  2 B 1.42-1.49
O 0.1990 0.4076 0.5017 (multiplicity 8)  1 B 1.33

***

8.
DFT (GGA-PBEsol) results for an optimized crystal structure of Sm3BWO9.

Calculated values
- E_tot (eV/atom) = -9.022
- mass density (g/cm3) = 7.61

a = 8.5657 Å, b = 8.5657 Å, c = 5.4234 Å
α = 90.00°, β = 90.00°, γ = 120.00°
Closest atoms and distances in Å follow each position.
Space group P6_3 (No. 173)
Unique sites:
Sm 0.0845 0.7259 0.0000 (multiplicity 6)  7 O 2.29-2.51
B 0.0000 0.0000 0.1585 (multiplicity 2)  3 O 1.38
W 0.3333 0.6667 0.5431 (multiplicity 2)  6 O 1.88-1.98
O 0.0494 0.8697 0.6494 (multiplicity 6)  1 B 1.38
O 0.1358 0.5147 0.7734 (multiplicity 6)  1 W 1.98
O 0.1968 0.4683 0.3350 (multiplicity 6)  1 W 1.88

***

9.
DFT (GGA-PBEsol) results for an optimized crystal structure of SnBO3.

Calculated values
- E_tot (eV/atom) = -7.259
- mass density (g/cm3) = 4.11

a = 5.1827 Å, b = 8.8307 Å, c = 12.6978 Å
α = 90.00°, β = 99.01°, γ = 90.00°
Closest atoms and distances in Å follow each position.
Space group Cc (No. 9)
Unique sites:
Sn 0.0000 0.0322 0.0000 (multiplicity 4)  5 O 1.98-2.08
Sn 0.1479 0.3783 0.7455 (multiplicity 4)  3 O 2.08-2.26
B 0.0987 0.0456 0.7485 (multiplicity 4)  3 O 1.34-1.41
B 0.4902 0.1325 0.4993 (multiplicity 4)  3 O 1.37-1.38
O 0.2437 0.3621 0.9786 (multiplicity 4)  1 B 1.38
O 0.2765 0.1553 0.7445 (multiplicity 4)  1 B 1.34
O 0.3437 0.2626 0.4905 (multiplicity 4)  1 B 1.37
O 0.3844 0.0035 0.0253 (multiplicity 4)  1 B 1.38
O 0.4740 0.4608 0.6614 (multiplicity 4)  1 B 1.41
O 0.4878 0.4985 0.3373 (multiplicity 4)  1 B 1.40

***

10.
DFT (GGA-PBEsol) results for an optimized crystal structure of SnB2O.

Calculated values
- E_tot (eV/atom) = -4.300
- mass density (g/cm3) = 5.62

a = 5.6949 Å, b = 5.6949 Å, c = 5.6949 Å
α = 90.00°, β = 90.00°, γ = 90.00°
Closest atoms and distances in Å follow each position.
Space group Fm-3m (No. 225)
Unique sites:
Sn 0.0000 0.0000 0.0000 (multiplicity 4)  8 B 2.47
B 0.2500 0.2500 0.2500 (multiplicity 8)  4 O 2.47, 4 Sn 2.47
O 0.0000 0.0000 0.5000 (multiplicity 4)  8 B 2.47

***

11.
DFT (GGA-PBEsol) results for an optimized crystal structure of SrSnB2O6.

Calculated values
- E_tot (eV/atom) = -7.598
- mass density (g/cm3) = 4.52

a = 4.9550 Å, b = 4.9550 Å, c = 16.8079 Å
α = 90.00°, β = 90.00°, γ = 120.00°
Closest atoms and distances in Å follow each position.
Space group R-3 (No. 148, hexagonal axes)
Unique sites:
Sr 0.0000 0.0000 0.0000 (multiplicity 3)  6 O 2.52
Sn 0.0000 0.0000 0.5000 (multiplicity 3)  6 O 2.06
B 0.0000 0.0000 0.2351 (multiplicity 6)  3 O 1.38
O 0.0361 0.4112 0.9054 (multiplicity 18)  1 B 1.38

***

12.
DFT (GGA-PBEsol) results for an optimized crystal structure of SrB2O4.

Calculated values
- ΔE to the lowest computed polymorph (eV per atom) = 0.000
- mass density (g/cm3) = 4.41

a = 9.2177 Å, b = 9.2177 Å, c = 9.2177 Å
α = 90.00°, β = 90.00°, γ = 90.00°
Closest atoms and distances in Å follow each position.
Space group Pa-3 (No. 205)
Unique sites:
Sr 0.0000 0.0000 0.0000 (multiplicity 4)  12 O 2.73-2.95
Sr 0.1293 0.6293 0.8707 (multiplicity 8)  9 O 2.52-2.60
B 0.1136 0.1879 0.3391 (multiplicity 24)  4 O 1.47-1.50
O 0.0031 0.5926 0.2191 (multiplicity 24)  2 B 1.49-1.50
O 0.1157 0.1745 0.7586 (multiplicity 24)  2 B 1.47-1.50